Entry 1:
DFT (meta-GGA SCAN) results for TaTiPN2 at its PBEsol-relaxed geometry.

- Formation energy without anion corrections: 1308 meV/atom
- Calculated density: 7.72 g/cm3
- Crystal system: tetragonal

Cell: 3.694 3.694 4.539 Å, 90.00 90.00 90.00°
Space group P4/mmm (No. 123)
One atom of each set of equivalent atoms:
Ta1 0.000 0.000 0.000 x1
Ti1 0.500 0.500 0.000 x1
P1 0.500 0.500 0.500 x1
N1 0.000 0.500 0.500 x2

***

Entry 2:
DFT (meta-GGA SCAN) results for CoGe2SN at its PBEsol-relaxed geometry.

- Formation energy without anion corrections: 1507 meV/atom
- Calculated density: 4.37 g/cm3
- Crystal system: tetragonal

Cell: 4.925 4.925 3.920 Å, 90.00 90.00 90.00°
Space group P4/mmm (No. 123)
One atom of each set of equivalent atoms:
Co1 0.000 0.000 0.000 x1
Ge1 0.000 0.500 0.500 x2
S1 0.000 0.000 0.500 x1
N1 0.500 0.500 0.000 x1

***

Entry 3:
DFT (meta-GGA SCAN) results for NiHgSN2 at its PBEsol-relaxed geometry.

- Formation energy without anion corrections: 2043 meV/atom
- Calculated density: 6.07 g/cm3
- Crystal system: tetragonal

Cell: 4.044 4.044 5.338 Å, 90.00 90.00 90.00°
Space group P4/mmm (No. 123)
One atom of each set of equivalent atoms:
Ni1 0.000 0.000 0.000 x1
Hg1 0.500 0.500 0.500 x1
S1 0.500 0.500 0.000 x1
N1 0.000 0.500 0.500 x2

***

Entry 4:
DFT (meta-GGA SCAN) results for BeCuSbI2 at its PBEsol-relaxed geometry.

- Formation energy without anion corrections: 903 meV/atom
- Calculated density: 5.33 g/cm3
- Crystal system: tetragonal

Cell: 5.283 5.283 4.999 Å, 90.00 90.00 90.00°
Space group P4/mmm (No. 123)
One atom of each set of equivalent atoms:
Be1 0.000 0.000 0.000 x1
Cu1 0.500 0.500 0.500 x1
Sb1 0.500 0.500 0.000 x1
I1 0.000 0.500 0.500 x2

***

Entry 5:
DFT (meta-GGA SCAN) results for CrCu2Rh at its PBEsol-relaxed geometry.

- Calculated density: 9.76 g/cm3
- Calculated formation energy: 0.247 eV/atom
- Crystal system: trigonal

Cell: 2.5535 2.5535 25.4903 Å, 90.00 90.00 120.00°
Space group R-3m (No. 166, hexagonal axes)
One atom of each set of equivalent atoms:
Cr1 0.0000 0.0000 0.0000 x3
Cu1 0.0000 0.0000 0.2517 x6
Rh1 0.0000 0.0000 0.5000 x3

***

Entry 6:
DFT (meta-GGA SCAN) results for Ba3ZrW at its PBEsol-relaxed geometry.

- Calculated density: 5.61 g/cm3
- Calculated formation energy: 1.547 eV/atom
- Offset from the most stable computed form: 0.0 meV/atom
- Crystal system: cubic

Cell: 5.881 5.881 5.881 Å, 90.00 90.00 90.00°
Space group Pm-3m (No. 221)
One atom of each set of equivalent atoms:
Ba1 0.000 0.000 0.500 x3
Zr1 0.500 0.500 0.500 x1
W1 0.000 0.000 0.000 x1

***

Entry 7:
DFT (meta-GGA SCAN) results for SrNi3P4O14 at its PBEsol-relaxed geometry.

- Formation energy without anion corrections: -2370 meV/atom
- Calculated density: 4.15 g/cm3
- Crystal system: monoclinic

Cell: 7.374 7.631 9.403 Å, 90.00 112.24 90.00°
Space group P2_1/c (No. 14)
One atom of each set of equivalent atoms:
Sr1 0.000 0.000 0.000 x2
Ni1 0.316 0.126 0.475 x4
Ni2 0.500 0.000 0.000 x2
P1 0.102 0.059 0.700 x4
P2 0.391 0.704 0.194 x4
O1 0.105 0.521 0.807 x4
O2 0.123 0.182 0.581 x4
O3 0.180 0.631 0.178 x4
O4 0.232 0.118 0.867 x4
O5 0.346 0.621 0.610 x4
O6 0.476 0.572 0.113 x4
O7 0.499 0.211 0.132 x4

***

Entry 8:
DFT (meta-GGA SCAN) results for BP2OsS at its PBEsol-relaxed geometry.

- Formation energy without anion corrections: 1176 meV/atom
- Calculated density: 7.88 g/cm3
- Crystal system: tetragonal

Cell: 3.901 3.901 4.087 Å, 90.00 90.00 90.00°
Space group P4/mmm (No. 123)
One atom of each set of equivalent atoms:
B1 0.000 0.000 0.000 x1
P1 0.000 0.500 0.000 x2
Os1 0.500 0.500 0.500 x1
S1 0.000 0.000 0.500 x1